Below is Rh after structural relaxation, with properties calculated at the PBEsol level.

POSCAR file:
```
Rh
1.0
-1.790 -1.146 -1.617
0.117 -2.625 -0.474
-1.865 -1.623 1.010
Rh
1
direct
0.000 0.000 0.000 Rh
```

Density of states at the Fermi level = 1.141 states/eV per atom
Polymorph energy (0 for the lowest one) = 0.000 eV per atom
Calculated formation energy = 0.000 eV per atom